Computed, not measured: an optimized crystal structure of Cu5TePd4 at the PBE level of DFT.

Results
E_form (uncorrected): 0.0059 eV/atom
Symmetry: C2/m
Total magnetization: 0.0 μB per cell
Volume: 153 Å³/cell
Total energy: -44.334 eV/cell
DOS(E_F): 2.82 states/eV per cell

abc: 4.302 7.608 5.156
angles: 93.32 114.66 90.00
Atoms (fractional coordinates):
Cu: 0.189 0.937 0.379
Cu: 0.242 0.584 0.484
Cu: 0.758 0.416 0.516
Cu: 0.500 0.500 0.000
Cu: 0.811 0.063 0.621
Te: 0.500 0.000 0.000
Pd: 0.685 0.749 0.370
Pd: 0.031 0.307 0.063
Pd: 0.315 0.251 0.630
Pd: 0.969 0.693 0.937